[1]
Density functional theory data (PBE) for an optimized crystal structure of Hf5N2.

Properties
Energy ... -147.9 eV/cell
Space group ... C2/c (15)

Lattice parameters (Å, degrees): 7.622 7.622 6.107 103.54 103.54 42.26
Fractional positions:
1 Hf 0.087 0.913 0.750
2 Hf 0.128 0.277 0.639
3 Hf 0.277 0.128 0.139
4 Hf 0.325 0.471 0.036
5 Hf 0.471 0.325 0.536
6 Hf 0.529 0.675 0.464
7 Hf 0.675 0.529 0.964
8 Hf 0.723 0.872 0.861
9 Hf 0.872 0.723 0.361
10 Hf 0.913 0.087 0.250
11 N 0.097 0.602 0.698
12 N 0.398 0.903 0.802
13 N 0.602 0.097 0.198
14 N 0.903 0.398 0.302

[2]
Density functional theory data (PBE) for an optimized crystal structure of GdO2.

Properties
Energy ... -42.1 eV/cell
Space group ... Fd-3m (227)

Lattice parameters (Å, degrees): 6.950 6.950 6.950 60.00 60.00 60.00
Fractional positions:
1 Gd 0.125 0.125 0.125
2 Gd 0.875 0.875 0.875
3 O 0.000 0.000 0.000
4 O 0.000 0.000 0.500
5 O 0.000 0.500 0.000
6 O 0.500 0.000 0.000

Which value of energy does entry 1 give?
-147.9 eV/cell

Please write out number 2 again, unchanged.
Density functional theory data (PBE) for an optimized crystal structure of GdO2.

Properties
Energy ... -42.1 eV/cell
Space group ... Fd-3m (227)

Lattice parameters (Å, degrees): 6.950 6.950 6.950 60.00 60.00 60.00
Fractional positions:
1 Gd 0.125 0.125 0.125
2 Gd 0.875 0.875 0.875
3 O 0.000 0.000 0.000
4 O 0.000 0.000 0.500
5 O 0.000 0.500 0.000
6 O 0.500 0.000 0.000

Which of these has the highest energy?
GdO2